Entry from Alexandria via LeMat-Bulk: BaZrPb2 after structural relaxation (PBE).

ΔE_f = -30.8 meV per atom
N(E_F) = 0.79 states/eV per atom
E = -18.01 eV for the cell shown

a = 5.851 Å, b = 5.851 Å, c = 5.851 Å
α = 127.33°, β = 127.33°, γ = 77.71°
Positions (direct):
Ba: 0.000 0.000 0.000
Zr: 0.500 0.500 0.000
Pb: 0.250 0.750 0.500
Pb: 0.750 0.250 0.500

***

Entry from Alexandria via LeMat-Bulk: Ba2ZrPb after structural relaxation (PBE).

ΔE_f = 104.2 meV per atom
N(E_F) = 1.33 states/eV per atom
E = -15.69 eV for the cell shown

a = 7.034 Å, b = 7.034 Å, c = 6.387 Å
α = 108.81°, β = 108.81°, γ = 30.66°
Positions (direct):
Ba: 0.000 0.000 0.000
Ba: 0.196 0.196 0.618
Zr: 0.776 0.776 0.183
Pb: 0.445 0.445 0.472

***

Entry from Alexandria via LeMat-Bulk: Ba2ZrPb after structural relaxation (PBE).

ΔE_f = 236.6 meV per atom
N(E_F) = 1.64 states/eV per atom
E = -15.16 eV for the cell shown

a = 3.667 Å, b = 3.667 Å, c = 11.052 Å
α = 90.00°, β = 90.00°, γ = 90.00°
Positions (direct):
Ba: 0.000 0.000 0.241
Ba: 0.000 0.000 0.759
Zr: 0.500 0.500 0.500
Pb: 0.500 0.500 0.000

***

Entry from Alexandria via LeMat-Bulk: BaZrPb2 after structural relaxation (PBE).

ΔE_f = -171.1 meV per atom
N(E_F) = 0.67 states/eV per atom
E = -18.57 eV for the cell shown

a = 5.054 Å, b = 5.054 Å, c = 7.180 Å
α = 106.39°, β = 106.39°, γ = 52.55°
Positions (direct):
Ba: 0.000 0.000 0.000
Zr: 0.500 0.500 0.500
Pb: 0.230 0.230 0.676
Pb: 0.770 0.770 0.324

***

Entry from Alexandria via LeMat-Bulk: Ba2ZrPb after structural relaxation (PBE).

ΔE_f = 24.8 meV per atom
N(E_F) = 0.79 states/eV per atom
E = -16.00 eV for the cell shown

a = 4.099 Å, b = 4.099 Å, c = 9.771 Å
α = 90.00°, β = 90.00°, γ = 90.00°
Positions (direct):
Ba: 0.000 0.000 0.000
Ba: 0.500 0.500 0.386
Zr: 0.500 0.500 0.734
Pb: 0.000 0.000 0.635

***

Entry from Alexandria via LeMat-Bulk: BaZrPb2 after structural relaxation (PBE).

ΔE_f = -67.3 meV per atom
N(E_F) = 0.74 states/eV per atom
E = -18.16 eV for the cell shown

a = 10.655 Å, b = 10.655 Å, c = 10.655 Å
α = 20.12°, β = 20.12°, γ = 20.12°
Positions (direct):
Ba: 0.000 0.000 0.000
Zr: 0.500 0.500 0.500
Pb: 0.240 0.240 0.240
Pb: 0.760 0.760 0.760

***

Entry from Alexandria via LeMat-Bulk: BaZrPb2 after structural relaxation (PBE).

ΔE_f = -242.1 meV per atom
N(E_F) = 0.36 states/eV per atom
E = -18.86 eV for the cell shown

a = 3.526 Å, b = 3.526 Å, c = 9.540 Å
α = 90.00°, β = 90.00°, γ = 90.00°
Positions (direct):
Ba: 0.000 0.000 0.000
Zr: 0.000 0.000 0.500
Pb: 0.500 0.500 0.282
Pb: 0.500 0.500 0.718

***

Entry from Alexandria via LeMat-Bulk: Ba2ZrPb after structural relaxation (PBE).

ΔE_f = 250.9 meV per atom
N(E_F) = 1.33 states/eV per atom
E = -15.10 eV for the cell shown

a = 5.846 Å, b = 5.846 Å, c = 5.846 Å
α = 60.00°, β = 60.00°, γ = 60.00°
Positions (direct):
Ba: 0.000 0.000 0.000
Ba: 0.250 0.250 0.250
Zr: 0.750 0.750 0.750
Pb: 0.500 0.500 0.500

***

Entry from Alexandria via LeMat-Bulk: BaZr2Pb2 after structural relaxation (PBE).

ΔE_f = -173.3 meV per atom
N(E_F) = 1.25 states/eV per atom
E = -27.30 eV for the cell shown

a = 7.732 Å, b = 7.732 Å, c = 7.732 Å
α = 144.14°, β = 144.14°, γ = 51.62°
Positions (direct):
Ba: 0.000 0.000 0.000
Zr: 0.250 0.750 0.500
Zr: 0.750 0.250 0.500
Pb: 0.382 0.382 0.000
Pb: 0.618 0.618 0.000

***

Entry from Alexandria via LeMat-Bulk: BaZrPb3 after structural relaxation (PBE).

ΔE_f = 1346.5 meV per atom
N(E_F) = 1.01 states/eV per atom
E = -14.86 eV for the cell shown

a = 6.018 Å, b = 6.018 Å, c = 6.018 Å
α = 90.00°, β = 90.00°, γ = 90.00°
Positions (direct):
Ba: 0.000 0.000 0.000
Zr: 0.500 0.500 0.500
Pb: 0.000 0.000 0.500
Pb: 0.000 0.500 0.000
Pb: 0.500 0.000 0.000

***

Entry from Alexandria via LeMat-Bulk: BaZrPb2 after structural relaxation (PBE).

ΔE_f = -9.7 meV per atom
N(E_F) = 0.73 states/eV per atom
E = -17.93 eV for the cell shown

a = 6.049 Å, b = 6.049 Å, c = 3.321 Å
α = 90.00°, β = 90.00°, γ = 90.00°
Positions (direct):
Ba: 0.000 0.000 0.000
Zr: 0.500 0.500 0.000
Pb: 0.000 0.500 0.500
Pb: 0.500 0.000 0.500

***

Entry from Alexandria via LeMat-Bulk: BaPd4 after structural relaxation (PBE).

ΔE_f = 1248.0 meV per atom
N(E_F) = 0.60 states/eV per atom
E = -16.45 eV for the cell shown

a = 5.310 Å, b = 5.310 Å, c = 5.310 Å
α = 90.00°, β = 90.00°, γ = 90.00°
Positions (direct):
Ba: 0.000 0.000 0.000
Pd: 0.000 0.000 0.500
Pd: 0.000 0.500 0.000
Pd: 0.500 0.000 0.000
Pd: 0.500 0.500 0.500

***

- Which of these has the lowest E?
  BaZr2Pb2

***

- E of number 6 (BaZrPb2)?
  -18.16 eV for the cell shown

***

- Look up the ΔE_f of the first one.
  -30.8 meV per atom

***

- Which of these has the highest E?
  BaZrPb3